(a)
## AlAg2As (GGA-PBEsol)

Data for crystalline AlAg2As at its relaxed geometry.

Cell and atoms, written as CIF:
```
data_AlAg2As
_space_group_name_H-M_alt 'P m m m'
_space_group_IT_number 47
_space_group_name_Hall '-P 2 2'
_cell_length_a 3.236
_cell_length_b 4.500
_cell_length_c 4.712
_cell_angle_alpha 90.00
_cell_angle_beta 90.00
_cell_angle_gamma 90.00
loop_
_atom_site_label
_atom_site_fract_x
_atom_site_fract_y
_atom_site_fract_z
Al1 0.000 0.000 0.000
Ag1 0.000 0.500 0.500
Ag2 0.500 0.500 0.000
As1 0.500 0.000 0.500
```

Density of states at the Fermi level = 1.32 states/eV/f.u.

***

(b)
## AlAg2As (GGA-PBEsol)

Data for crystalline AlAg2As at its relaxed geometry.

Cell and atoms, written as CIF:
```
data_AlAg2As
_space_group_name_H-M_alt 'P 4/m m m'
_space_group_IT_number 123
_space_group_name_Hall '-P 4 2'
_cell_length_a 2.892
_cell_length_b 2.892
_cell_length_c 8.103
_cell_angle_alpha 90.00
_cell_angle_beta 90.00
_cell_angle_gamma 90.00
loop_
_atom_site_label
_atom_site_fract_x
_atom_site_fract_y
_atom_site_fract_z
Al1 0.000 0.000 0.000
Ag1 0.500 0.500 0.231
As1 0.000 0.000 0.500
```

Density of states at the Fermi level = 1.46 states/eV/f.u.

***

Name the most stable of them. (b).

***

(a)
## AlAgAu2 (GGA-PBEsol)

Data for crystalline AlAgAu2 at its relaxed geometry.

Cell and atoms, written as CIF:
```
data_AlAgAu2
_space_group_name_H-M_alt 'I 4/m m m'
_space_group_IT_number 139
_space_group_name_Hall '-I 4 2'
_cell_length_a 4.241
_cell_length_b 4.241
_cell_length_c 7.224
_cell_angle_alpha 90.00
_cell_angle_beta 90.00
_cell_angle_gamma 90.00
loop_
_atom_site_label
_atom_site_fract_x
_atom_site_fract_y
_atom_site_fract_z
Al1 0.000 0.000 0.000
Ag1 0.000 0.000 0.500
Au1 0.000 0.500 0.250
```

Density of states at the Fermi level = 1.00 states/eV/f.u.

***

(b)
## AlAgAu2 (GGA-PBEsol)

Data for crystalline AlAgAu2 at its relaxed geometry.

Cell and atoms, written as CIF:
```
data_AlAgAu2
_space_group_name_H-M_alt 'P m m 2'
_space_group_IT_number 25
_space_group_name_Hall 'P 2 -2'
_cell_length_a 3.027
_cell_length_b 3.724
_cell_length_c 5.793
_cell_angle_alpha 90.00
_cell_angle_beta 90.00
_cell_angle_gamma 90.00
loop_
_atom_site_label
_atom_site_fract_x
_atom_site_fract_y
_atom_site_fract_z
Al1 0.000 0.000 0.000
Ag1 0.500 0.500 0.744
Au1 0.000 0.000 0.497
Au2 0.500 0.500 0.220
```

Density of states at the Fermi level = 1.39 states/eV/f.u.

***

Name the most stable of them. (a).

***

(a)
## AlAgAu2 (GGA-PBEsol)

Data for crystalline AlAgAu2 at its relaxed geometry.

Cell and atoms, written as CIF:
```
data_AlAgAu2
_space_group_name_H-M_alt 'F m -3 m'
_space_group_IT_number 225
_space_group_name_Hall '-F 4 2 3'
_cell_length_a 6.384
_cell_length_b 6.384
_cell_length_c 6.384
_cell_angle_alpha 90.00
_cell_angle_beta 90.00
_cell_angle_gamma 90.00
loop_
_atom_site_label
_atom_site_fract_x
_atom_site_fract_y
_atom_site_fract_z
Al1 0.000 0.000 0.000
Ag1 0.000 0.000 0.500
Au1 0.250 0.250 0.250
```

Density of states at the Fermi level = 1.21 states/eV/f.u.

***

(b)
## AlAgAu2 (GGA-PBEsol)

Data for crystalline AlAgAu2 at its relaxed geometry.

Cell and atoms, written as CIF:
```
data_AlAgAu2
_space_group_name_H-M_alt 'I -4 m 2'
_space_group_IT_number 119
_space_group_name_Hall 'I -4 -2'
_cell_length_a 3.930
_cell_length_b 3.930
_cell_length_c 8.388
_cell_angle_alpha 90.00
_cell_angle_beta 90.00
_cell_angle_gamma 90.00
loop_
_atom_site_label
_atom_site_fract_x
_atom_site_fract_y
_atom_site_fract_z
Al1 0.000 0.000 0.000
Ag1 0.000 0.500 0.750
Au1 0.000 0.000 0.500
Au2 0.000 0.500 0.250
```

Density of states at the Fermi level = 1.02 states/eV/f.u.

***

Name the most stable of them. (b).

***

(a)
## AlAgAu2 (GGA-PBEsol)

Data for crystalline AlAgAu2 at its relaxed geometry.

Cell and atoms, written as CIF:
```
data_AlAgAu2
_space_group_name_H-M_alt 'C 1 m 1'
_space_group_IT_number 8
_space_group_name_Hall 'C -2y'
_cell_length_a 9.603
_cell_length_b 3.059
_cell_length_c 4.647
_cell_angle_alpha 90.00
_cell_angle_beta 107.57
_cell_angle_gamma 90.00
loop_
_atom_site_label
_atom_site_fract_x
_atom_site_fract_y
_atom_site_fract_z
Al1 0.000 0.000 0.000
Ag1 0.236 0.500 0.276
Au1 0.000 0.500 0.507
Au2 0.270 0.000 0.803
```

Density of states at the Fermi level = 0.96 states/eV/f.u.

***

(b)
## AlAgAu2 (GGA-PBEsol)

Data for crystalline AlAgAu2 at its relaxed geometry.

Cell and atoms, written as CIF:
```
data_AlAgAu2
_space_group_name_H-M_alt 'I m m 2'
_space_group_IT_number 44
_space_group_name_Hall 'I 2 -2'
_cell_length_a 3.613
_cell_length_b 4.178
_cell_length_c 8.603
_cell_angle_alpha 90.00
_cell_angle_beta 90.00
_cell_angle_gamma 90.00
loop_
_atom_site_label
_atom_site_fract_x
_atom_site_fract_y
_atom_site_fract_z
Al1 0.000 0.000 0.000
Ag1 0.000 0.500 0.742
Au1 0.000 0.000 0.510
Au2 0.000 0.500 0.275
```

Density of states at the Fermi level = 1.04 states/eV/f.u.

***

Name the most stable of them. (b).

***

(a)
## AlAgAu (GGA-PBEsol)

Data for crystalline AlAgAu at its relaxed geometry.

Cell and atoms, written as CIF:
```
data_AlAgAu
_space_group_name_H-M_alt 'I 4 m m'
_space_group_IT_number 107
_space_group_name_Hall 'I 4 -2'
_cell_length_a 3.299
_cell_length_b 3.299
_cell_length_c 8.839
_cell_angle_alpha 90.00
_cell_angle_beta 90.00
_cell_angle_gamma 90.00
loop_
_atom_site_label
_atom_site_fract_x
_atom_site_fract_y
_atom_site_fract_z
Al1 0.000 0.000 0.000
Ag1 0.000 0.000 0.666
Au1 0.000 0.000 0.351
```

Density of states at the Fermi level = 0.73 states/eV/f.u.

***

(b)
## AlAgAu (GGA-PBEsol)

Data for crystalline AlAgAu at its relaxed geometry.

Cell and atoms, written as CIF:
```
data_AlAgAu
_space_group_name_H-M_alt 'P -6 m 2'
_space_group_IT_number 187
_space_group_name_Hall 'P -6 2'
_cell_length_a 4.4359
_cell_length_b 4.4359
_cell_length_c 2.8788
_cell_angle_alpha 90.00
_cell_angle_beta 90.00
_cell_angle_gamma 120.00
loop_
_atom_site_label
_atom_site_fract_x
_atom_site_fract_y
_atom_site_fract_z
Al1 0.0000 0.0000 0.0000
Ag1 0.6667 0.3333 0.5000
Au1 0.3333 0.6667 0.0000
```

Density of states at the Fermi level = 0.55 states/eV/f.u.

***

Name the most stable of them. (a).

***

(a)
## AlAg3C (GGA-PBEsol)

Data for crystalline AlAg3C at its relaxed geometry.

Cell and atoms, written as CIF:
```
data_AlAg3C
_space_group_name_H-M_alt 'P m -3 m'
_space_group_IT_number 221
_space_group_name_Hall '-P 4 2 3'
_cell_length_a 4.289
_cell_length_b 4.289
_cell_length_c 4.289
_cell_angle_alpha 90.00
_cell_angle_beta 90.00
_cell_angle_gamma 90.00
loop_
_atom_site_label
_atom_site_fract_x
_atom_site_fract_y
_atom_site_fract_z
Al1 0.000 0.000 0.000
Ag1 0.000 0.500 0.500
C1 0.500 0.500 0.500
```

Density of states at the Fermi level = 1.53 states/eV/f.u.

***

(b)
## AlAg3C (GGA-PBEsol)

Data for crystalline AlAg3C at its relaxed geometry.

Cell and atoms, written as CIF:
```
data_AlAg3C
_space_group_name_H-M_alt 'P m -3 m'
_space_group_IT_number 221
_space_group_name_Hall '-P 4 2 3'
_cell_length_a 4.700
_cell_length_b 4.700
_cell_length_c 4.700
_cell_angle_alpha 90.00
_cell_angle_beta 90.00
_cell_angle_gamma 90.00
loop_
_atom_site_label
_atom_site_fract_x
_atom_site_fract_y
_atom_site_fract_z
Al1 0.000 0.000 0.000
Ag1 0.000 0.000 0.500
C1 0.500 0.500 0.500
```

Density of states at the Fermi level = 2.52 states/eV/f.u.

***

Name the most stable of them. (a).